Computed, not measured: a geometry-optimized Tc2NiF structure at the GGA+U level of DFT.

a = 4.098 Å, b = 4.098 Å, c = 4.098 Å
α = 60.00°, β = 60.00°, γ = 60.00°
Sites, in units of the cell vectors:
1 Ni 0.500 0.500 0.500
2 Tc 0.250 0.250 0.250
3 Tc 0.750 0.750 0.750
4 F 0.000 0.000 0.000

Output
ΔE to the lowest computed polymorph (eV per formula unit): 0.00
Fermi-level density of states (states/eV per atom): 0.676
Electronic total energy (Ry per atom): -0.41716